No. 1
A plane-wave DFT calculation with PBE-GGA was carried out for crystalline ZnCdAg2 at its relaxed geometry.

Unit cell a=3.2775 b=3.2775 c=6.7002 alpha=90.00 beta=90.00 gamma=90.00
Fractional coordinates of all 4 atoms:
Zn 0.5000 0.5000 0.7709
Ag 0.0000 0.0000 0.9815
Ag 0.5000 0.5000 0.2403
Cd 0.0000 0.0000 0.5072

Values from the calculation:
E_form: -8.5 meV per atom
space group: P4mm, No. 99



No. 2
A plane-wave DFT calculation with PBE-GGA was carried out for crystalline Zn4Cd3Ag2 at its relaxed geometry.

Unit cell a=4.5210 b=4.9505 c=8.5588 alpha=99.05 beta=90.00 gamma=117.17
Fractional coordinates of all 9 atoms:
Zn 0.6860 0.3720 0.0592
Zn 0.0756 0.1512 0.6583
Zn 0.9244 0.8488 0.3417
Zn 0.3140 0.6280 0.9408
Cd 0.3893 0.7785 0.6104
Cd 0.0000 0.0000 0.0000
Cd 0.6107 0.2215 0.3896
Ag 0.2580 0.5159 0.2602
Ag 0.7420 0.4841 0.7398

Values from the calculation:
E_form: 41.9 meV per atom
space group: C2/m, No. 12



No. 3
A plane-wave DFT calculation with PBE-GGA was carried out for crystalline Zn4Cd2Ag3 at its relaxed geometry.

Unit cell a=2.9392 b=2.9392 c=21.3365 alpha=90.00 beta=90.00 gamma=120.00
Fractional coordinates of all 9 atoms:
Zn 0.0000 0.0000 0.5394
Zn 0.6667 0.3333 0.4387
Zn 0.6667 0.3333 0.2297
Zn 0.0000 0.0000 0.7475
Cd 0.6667 0.3333 0.1001
Cd 0.6667 0.3333 0.8625
Ag 0.0000 0.0000 0.9813
Ag 0.0000 0.0000 0.3343
Ag 0.6667 0.3333 0.6437

Values from the calculation:
relative energy among the computed polymorphs: 0.0 meV/atom
E_form: 16.4 meV per atom
space group: P3m1, No. 156



No. 4
A plane-wave DFT calculation with PBE-GGA was carried out for crystalline Zn2CdAg2 at its relaxed geometry.

Unit cell a=4.6878 b=5.1537 c=5.5831 alpha=129.49 beta=114.82 gamma=90.00
Fractional coordinates of all 5 atoms:
Zn 0.7843 0.1790 0.5685
Zn 0.2157 0.8210 0.4315
Cd 0.0000 0.0000 0.0000
Ag 0.3910 0.5750 0.7820
Ag 0.6090 0.4250 0.2180

Values from the calculation:
relative energy among the computed polymorphs: 29.6 meV/atom
E_form: 11.2 meV per atom
space group: C2/m, No. 12